[1]
# Zr2CdF

A relaxed Zr2CdF crystal (PBE-GGA, the Alexandria database).

```
data_Zr2CdF
_chemical_formula_sum 'Zr8 Cd4 F4'
_cell_length_a 6.778
_cell_length_b 6.778
_cell_length_c 6.778
_cell_angle_alpha 90.00
_cell_angle_beta 90.00
_cell_angle_gamma 90.00
_symmetry_space_group_name_H-M 'F m -3 m'
_symmetry_Int_Tables_number 225
_symmetry_space_group_name_Hall '-F 4 2 3'
loop_
_atom_site_label
_atom_site_type_symbol
_atom_site_fract_x
_atom_site_fract_y
_atom_site_fract_z
Zr1 Zr 0.250 0.250 0.250
Cd1 Cd 0.000 0.000 0.000
F1 F 0.000 0.000 0.500
```

formation energy from raw total energies: -393 meV/atom
total magnetization: 0.0 Bohr magnetons per cell

=====

[2]
# LiCeCuRh

A relaxed LiCeCuRh crystal (PBE-GGA, the Alexandria database).

```
data_LiCeCuRh
_chemical_formula_sum 'Li4 Ce4 Cu4 Rh4'
_cell_length_a 6.621
_cell_length_b 6.621
_cell_length_c 6.621
_cell_angle_alpha 90.00
_cell_angle_beta 90.00
_cell_angle_gamma 90.00
_symmetry_space_group_name_H-M 'F -4 3 m'
_symmetry_Int_Tables_number 216
_symmetry_space_group_name_Hall 'F -4 2 3'
loop_
_atom_site_label
_atom_site_type_symbol
_atom_site_fract_x
_atom_site_fract_y
_atom_site_fract_z
Li1 Li 0.000 0.000 0.000
Ce1 Ce 0.000 0.000 0.500
Cu1 Cu 0.250 0.250 0.250
Rh1 Rh 0.250 0.250 0.750
```

formation energy: -0.204 eV per atom
total magnetization: 1.7 Bohr magnetons per cell

=====

[3]
# Al3TlCd

A relaxed Al3TlCd crystal (PBE-GGA, the Alexandria database).

```
data_Al3TlCd
_chemical_formula_sum 'Al3 Tl1 Cd1'
_cell_length_a 5.167
_cell_length_b 5.167
_cell_length_c 5.167
_cell_angle_alpha 90.00
_cell_angle_beta 90.00
_cell_angle_gamma 90.00
_symmetry_space_group_name_H-M 'P m -3 m'
_symmetry_Int_Tables_number 221
_symmetry_space_group_name_Hall '-P 4 2 3'
loop_
_atom_site_label
_atom_site_type_symbol
_atom_site_fract_x
_atom_site_fract_y
_atom_site_fract_z
Al1 Al 0.000 0.000 0.500
Tl1 Tl 0.500 0.500 0.500
Cd1 Cd 0.000 0.000 0.000
```

formation energy: 0.655 eV per atom
total magnetization: 0.0 Bohr magnetons per cell

=====

[4]
# LaSm4Sc

A relaxed LaSm4Sc crystal (PBE-GGA, the Alexandria database).

```
data_LaSm4Sc
_chemical_formula_sum 'La2 Sm8 Sc2'
_cell_length_a 6.209
_cell_length_b 10.790
_cell_length_c 6.186
_cell_angle_alpha 90.00
_cell_angle_beta 109.57
_cell_angle_gamma 90.00
_symmetry_space_group_name_H-M 'C 1 2/m 1'
_symmetry_Int_Tables_number 12
loop_
_symmetry_equiv_pos_as_xyz
'x,y,z'
'-x,-y,-z'
'-x,y,-z'
'x,-y,z'
'x+1/2,y+1/2,z'
'-x+1/2,-y+1/2,-z'
'-x+1/2,y+1/2,-z'
'x+1/2,-y+1/2,z'
loop_
_atom_site_label
_atom_site_type_symbol
_atom_site_fract_x
_atom_site_fract_y
_atom_site_fract_z
La1 La 0.000 0.000 0.000
Sm1 Sm 0.000 0.167 0.500
Sm2 Sm 0.000 0.336 0.000
Sc1 Sc 0.000 0.500 0.500
```

formation energy: 0.040 eV per atom
total magnetization: 0.0 Bohr magnetons per cell

=====

[5]
# LaHo8Tm2

A relaxed LaHo8Tm2 crystal (PBE-GGA, the Alexandria database).

```
data_LaHo8Tm2
_chemical_formula_sum 'La2 Ho16 Tm4'
_cell_length_a 5.463
_cell_length_b 8.129
_cell_length_c 15.859
_cell_angle_alpha 90.00
_cell_angle_beta 90.00
_cell_angle_gamma 90.00
_symmetry_space_group_name_H-M 'I m m m'
_symmetry_Int_Tables_number 71
_symmetry_space_group_name_Hall '-I 2 2'
loop_
_atom_site_label
_atom_site_type_symbol
_atom_site_fract_x
_atom_site_fract_y
_atom_site_fract_z
La1 La 0.000 0.000 0.000
Ho1 Ho 0.000 0.203 0.500
Ho2 Ho 0.000 0.294 0.142
Ho3 Ho 0.000 0.500 0.336
Tm1 Tm 0.000 0.000 0.301
```

formation energy: 0.124 eV per atom
total magnetization: 0.0 Bohr magnetons per cell

=====

[6]
# Tb2Sm6Y3Zr

A relaxed Tb2Sm6Y3Zr crystal (PBE-GGA, the Alexandria database).

```
data_Tb2Sm6Y3Zr
_chemical_formula_sum 'Tb4 Sm12 Y6 Zr2'
_cell_length_a 6.177
_cell_length_b 10.683
_cell_length_c 11.765
_cell_angle_alpha 90.00
_cell_angle_beta 100.00
_cell_angle_gamma 90.00
_symmetry_space_group_name_H-M 'C 1 2/m 1'
_symmetry_Int_Tables_number 12
loop_
_symmetry_equiv_pos_as_xyz
'x,y,z'
'-x,-y,-z'
'-x,y,-z'
'x,-y,z'
'x+1/2,y+1/2,z'
'-x+1/2,-y+1/2,-z'
'-x+1/2,y+1/2,-z'
'x+1/2,-y+1/2,z'
loop_
_atom_site_label
_atom_site_type_symbol
_atom_site_fract_x
_atom_site_fract_y
_atom_site_fract_z
Tb1 Tb 0.000 0.167 0.000
Sm1 Sm 0.245 0.337 0.244
Sm2 Sm 0.246 0.500 0.756
Y1 Y 0.000 0.000 0.500
Y2 Y 0.000 0.334 0.500
Zr1 Zr 0.000 0.500 0.000
```

formation energy: 0.051 eV per atom
total magnetization: 0.0 Bohr magnetons per cell